Computed, not measured: PaCuO3 after structural relaxation at the PBE level of DFT.

Properties
theoretical density: 7.04 Mg/m³
formation energy (no corrections): -2182 meV/atom

POSCAR file:
```
PaCuO3
1.0
4.323 0.000 0.000
0.000 4.323 0.000
0.000 0.000 4.323
Pa Cu O
1 1 3
Cartesian
0.000 0.000 0.000
2.162 2.162 2.162
0.000 0.000 2.162
0.000 2.162 0.000
2.162 0.000 0.000
```